# Ca2Nd5Sn4

A geometry-optimized Ca2Nd5Sn4 structure (GGA-PBE, Alexandria).

a = 4.719 Å, b = 7.608 Å, c = 11.554 Å
α = 109.36°, β = 101.78°, γ = 90.00°
Each line ends with the local moment (μB).
Fractional coordinates of all 11 atoms:
Ca (0.573, 0.572, 0.146)  0.03
Ca (0.427, 0.428, 0.854)  0.03
Nd (0.164, 0.924, 0.328)  0.13
Nd (0.836, 0.076, 0.672)  0.13
Nd (0.163, 0.402, 0.327)  0.13
Nd (0.500, 0.000, 0.000)  0.22
Nd (0.837, 0.598, 0.673)  0.13
Sn (0.714, 0.714, 0.429)  -0.01
Sn (0.000, 0.717, 0.001)  -0.01
Sn (0.286, 0.286, 0.571)  -0.01
Sn (0.000, 0.283, 0.999)  -0.01



# Ca2Nd2Sn7

A geometry-optimized Ca2Nd2Sn7 structure (GGA-PBE, Alexandria).

a = 7.119 Å, b = 7.308 Å, c = 7.119 Å
α = 90.00°, β = 100.20°, γ = 90.00°
Fractional coordinates of all 11 atoms:
Ca (0.818, 0.500, 0.818)
Ca (0.182, 0.500, 0.182)
Nd (0.709, 0.000, 0.291)
Nd (0.291, 0.000, 0.709)
Sn (0.000, 0.299, 0.500)
Sn (0.500, 0.701, 0.000)
Sn (0.000, 0.701, 0.500)
Sn (0.500, 0.299, 0.000)
Sn (0.000, 0.000, 0.000)
Sn (0.500, 0.694, 0.500)
Sn (0.500, 0.306, 0.500)



# Ca3NdSn12

A geometry-optimized Ca3NdSn12 structure (GGA-PBE, Alexandria).

a = 4.746 Å, b = 4.746 Å, c = 19.185 Å
α = 90.00°, β = 90.00°, γ = 90.00°
Fractional coordinates of all 16 atoms:
Ca (0.000, 0.000, 0.250)
Ca (0.000, 0.000, 0.500)
Ca (0.000, 0.000, 0.750)
Nd (0.000, 0.000, 0.000)
Sn (0.500, 0.500, 0.000)
Sn (0.500, 0.500, 0.251)
Sn (0.500, 0.500, 0.500)
Sn (0.500, 0.500, 0.749)
Sn (0.500, 0.000, 0.127)
Sn (0.500, 0.000, 0.376)
Sn (0.500, 0.000, 0.624)
Sn (0.500, 0.000, 0.873)
Sn (0.000, 0.500, 0.127)
Sn (0.000, 0.500, 0.376)
Sn (0.000, 0.500, 0.624)
Sn (0.000, 0.500, 0.873)



| no. | spin magnetization (μB/f.u.) | formation energy (eV/f.u.) |
| --- | --- | --- |
| 1 | 2.414 | -4.3 |
| 2 | 0.000 | -2.1 |
| 3 | 0.000 | -6.6 |